# LiSiAsBr2 | Alexandria via LeMat-Bulk | PBE | relaxed
data_LiSiAsBr2
_chemical_formula_sum 'Li1 Si1 As1 Br2'
_cell_length_a 4.756
_cell_length_b 4.756
_cell_length_c 5.110
_cell_angle_alpha 90.00
_cell_angle_beta 90.00
_cell_angle_gamma 90.00
_space_group_name_H-M_alt 'P 4/m m m'
_space_group_IT_number 123
_space_group_name_Hall '-P 4 2'
loop_
_atom_site_label
_atom_site_type_symbol
_atom_site_fract_x
_atom_site_fract_y
_atom_site_fract_z
Li1 Li 0.000 0.000 0.000
Si1 Si 0.500 0.500 0.500
As1 As 0.000 0.000 0.500
Br1 Br 0.000 0.500 0.000
# Energy relative to the lowest polymorph listed for this composition, meV per atom: 373
# Formation energy (no corrections), eV per atom: 0.3211
# D(E_F), states/eV/f.u.: 3.41

# YCdHg6 | Alexandria via LeMat-Bulk | PBE | relaxed
data_YCdHg6
_chemical_formula_sum 'Y1 Cd1 Hg6'
_cell_length_a 5.996
_cell_length_b 6.048
_cell_length_c 6.061
_cell_angle_alpha 105.32
_cell_angle_beta 100.56
_cell_angle_gamma 98.65
_space_group_name_H-M_alt 'P -1'
_space_group_IT_number 2
_space_group_name_Hall '-P 1'
loop_
_atom_site_label
_atom_site_type_symbol
_atom_site_fract_x
_atom_site_fract_y
_atom_site_fract_z
Y1 Y 0.000 0.000 0.000
Cd1 Cd 0.500 0.500 0.500
Hg1 Hg 0.017 0.532 0.261
Hg2 Hg 0.258 0.038 0.516
Hg3 Hg 0.468 0.745 0.990
# Energy relative to the lowest polymorph listed for this composition, meV per atom: 0
# Calculated formation energy, eV/atom: -0.094
# D(E_F), states/eV/f.u.: 3.63

# BaPaBiO6 | Alexandria via LeMat-Bulk | PBE | relaxed
data_BaPaBiO6
_chemical_formula_sum 'Ba2 Pa2 Bi2 O12'
_cell_length_a 5.8362
_cell_length_b 5.8362
_cell_length_c 11.4969
_cell_angle_alpha 90.00
_cell_angle_beta 90.00
_cell_angle_gamma 120.00
_space_group_name_H-M_alt 'P -3 1 c'
_space_group_IT_number 163
_space_group_name_Hall '-P 3 2c'
loop_
_atom_site_label
_atom_site_type_symbol
_atom_site_fract_x
_atom_site_fract_y
_atom_site_fract_z
Ba1 Ba 0.0000 0.0000 0.0000
Pa1 Pa 0.3333 0.6667 0.2500
Bi1 Bi 0.3333 0.6667 0.7500
O1 O 0.0073 0.3788 0.6474
# Formation energy (no corrections), eV per atom: -2.3483

# Tm2AlSe | Alexandria via LeMat-Bulk | PBE | relaxed
data_Tm2AlSe
_chemical_formula_sum 'Tm6 Al3 Se3'
_cell_length_a 3.7206
_cell_length_b 3.7206
_cell_length_c 24.2148
_cell_angle_alpha 90.00
_cell_angle_beta 90.00
_cell_angle_gamma 120.00
_space_group_name_H-M_alt 'R 3 m'
_space_group_IT_number 160
_space_group_name_Hall 'R 3 -2"'
loop_
_atom_site_label
_atom_site_type_symbol
_atom_site_fract_x
_atom_site_fract_y
_atom_site_fract_z
Tm1 Tm 0.0000 0.0000 0.0000
Tm2 Tm 0.0000 0.0000 0.1592
Al1 Al 0.0000 0.0000 0.5790
Se1 Se 0.0000 0.0000 0.7471
# Energy relative to the lowest polymorph listed for this composition, meV per atom: 165
# Formation energy (no corrections), eV per atom: -0.9118
# D(E_F), states/eV/f.u.: 1.49

# CeInSn2Br8 | Alexandria via LeMat-Bulk | PBE | relaxed
data_CeInSn2Br8
_chemical_formula_sum 'Ce1 In1 Sn2 Br8'
_cell_length_a 6.933
_cell_length_b 9.157
_cell_length_c 7.287
_cell_angle_alpha 90.00
_cell_angle_beta 90.93
_cell_angle_gamma 90.00
_space_group_name_H-M_alt 'P 1 2/m 1'
_space_group_IT_number 10
_space_group_name_Hall '-P 2y'
loop_
_atom_site_label
_atom_site_type_symbol
_atom_site_fract_x
_atom_site_fract_y
_atom_site_fract_z
Ce1 Ce 0.000 0.000 0.000
In1 In 0.000 0.500 0.000
Sn1 Sn 0.500 0.255 0.500
Br1 Br 0.244 0.228 0.163
Br2 Br 0.249 0.000 0.675
Br3 Br 0.278 0.500 0.641
# Formation energy (no corrections), eV per atom: -1.0757
# D(E_F), states/eV/f.u.: 8.09

# CsNa3Cr | Alexandria via LeMat-Bulk | PBE | relaxed
data_CsNa3Cr
_chemical_formula_sum 'Cs1 Na3 Cr1'
_cell_length_a 6.208
_cell_length_b 6.208
_cell_length_c 6.208
_cell_angle_alpha 90.00
_cell_angle_beta 90.00
_cell_angle_gamma 90.00
_space_group_name_H-M_alt 'P m -3 m'
_space_group_IT_number 221
_space_group_name_Hall '-P 4 2 3'
loop_
_atom_site_label
_atom_site_type_symbol
_atom_site_fract_x
_atom_site_fract_y
_atom_site_fract_z
Cs1 Cs 0.000 0.000 0.000
Na1 Na 0.000 0.500 0.500
Cr1 Cr 0.500 0.500 0.500
# Energy relative to the lowest polymorph listed for this composition, meV per atom: 0
# Calculated formation energy, eV/atom: 0.523
# D(E_F), states/eV/f.u.: 2.51

# NaTc2Au | Alexandria via LeMat-Bulk | PBE | relaxed
data_NaTc2Au
_chemical_formula_sum 'Na4 Tc8 Au4'
_cell_length_a 6.402
_cell_length_b 6.402
_cell_length_c 6.402
_cell_angle_alpha 90.00
_cell_angle_beta 90.00
_cell_angle_gamma 90.00
_space_group_name_H-M_alt 'F m -3 m'
_space_group_IT_number 225
_space_group_name_Hall '-F 4 2 3'
loop_
_atom_site_label
_atom_site_type_symbol
_atom_site_fract_x
_atom_site_fract_y
_atom_site_fract_z
Na1 Na 0.000 0.000 0.000
Tc1 Tc 0.250 0.250 0.250
Au1 Au 0.000 0.000 0.500
# Energy relative to the lowest polymorph listed for this composition, meV per atom: 0
# Calculated formation energy, eV/atom: 1.090
# D(E_F), states/eV/f.u.: 3.55

# ReHgTe2 | Alexandria via LeMat-Bulk | PBE | relaxed
data_ReHgTe2
_chemical_formula_sum 'Re4 Hg4 Te8'
_cell_length_a 7.115
_cell_length_b 7.115
_cell_length_c 10.971
_cell_angle_alpha 90.00
_cell_angle_beta 90.00
_cell_angle_gamma 90.00
_space_group_name_H-M_alt 'I -4 2 d'
_space_group_IT_number 122
_space_group_name_Hall 'I -4 2bw'
loop_
_atom_site_label
_atom_site_type_symbol
_atom_site_fract_x
_atom_site_fract_y
_atom_site_fract_z
Re1 Re 0.000 0.000 0.000
Hg1 Hg 0.000 0.000 0.500
Te1 Te 0.170 0.250 0.125
# Energy relative to the lowest polymorph listed for this composition, meV per atom: 269
# Formation energy (no corrections), eV per atom: 0.4917
# D(E_F), states/eV/f.u.: 2.39

# Er12Ni6Ag | Alexandria via LeMat-Bulk | PBE | relaxed
data_Er12Ni6Ag
_chemical_formula_sum 'Er36 Ni18 Ag3'
_cell_length_a 13.5448
_cell_length_b 13.5448
_cell_length_c 8.6506
_cell_angle_alpha 90.00
_cell_angle_beta 90.00
_cell_angle_gamma 120.00
_space_group_name_H-M_alt 'R -3'
_space_group_IT_number 148
_space_group_name_Hall '-R 3'
loop_
_atom_site_label
_atom_site_type_symbol
_atom_site_fract_x
_atom_site_fract_y
_atom_site_fract_z
Er1 Er 0.0390 0.2556 0.4269
Er2 Er 0.0587 0.1785 0.8306
Ni1 Ni 0.0731 0.5001 0.7855
Ag1 Ag 0.0000 0.0000 0.5000
# Energy relative to the lowest polymorph listed for this composition, meV per atom: 121
# Calculated formation energy, eV/atom: -0.215
# D(E_F), states/eV/f.u.: 18.59

# BaSr3Zn | Alexandria via LeMat-Bulk | PBE | relaxed
data_BaSr3Zn
_chemical_formula_sum 'Ba4 Sr12 Zn4'
_cell_length_a 13.645
_cell_length_b 9.979
_cell_length_c 9.136
_cell_angle_alpha 90.00
_cell_angle_beta 127.20
_cell_angle_gamma 90.00
_space_group_name_H-M_alt 'C 1 2/m 1'
_space_group_IT_number 12
_space_group_name_Hall '-C 2y'
loop_
_atom_site_label
_atom_site_type_symbol
_atom_site_fract_x
_atom_site_fract_y
_atom_site_fract_z
Ba1 Ba 0.078 0.000 0.263
Sr1 Sr 0.024 0.500 0.272
Sr2 Sr 0.208 0.210 0.751
Zn1 Zn 0.227 0.000 0.055
# Energy relative to the lowest polymorph listed for this composition, meV per atom: 7
# Calculated formation energy, eV/atom: -0.020
# D(E_F), states/eV/f.u.: 7.24

# BaPuSeS2 | Alexandria via LeMat-Bulk | PBE | relaxed
data_BaPuSeS2
_chemical_formula_sum 'Ba1 Pu1 Se1 S2'
_cell_length_a 5.210
_cell_length_b 5.210
_cell_length_c 5.588
_cell_angle_alpha 90.00
_cell_angle_beta 90.00
_cell_angle_gamma 90.00
_space_group_name_H-M_alt 'P 4 m m'
_space_group_IT_number 99
_space_group_name_Hall 'P 4 -2'
loop_
_atom_site_label
_atom_site_type_symbol
_atom_site_fract_x
_atom_site_fract_y
_atom_site_fract_z
Ba1 Ba 0.000 0.000 0.000
Pu1 Pu 0.500 0.500 0.404
Se1 Se 0.500 0.500 0.898
S1 S 0.000 0.500 0.367
# Formation energy (no corrections), eV per atom: -1.6265
# D(E_F), states/eV/f.u.: 5.95

# PmGa4Pd | Alexandria via LeMat-Bulk | PBE | relaxed
data_PmGa4Pd
_chemical_formula_sum 'Pm4 Ga16 Pd4'
_cell_length_a 4.316
_cell_length_b 15.778
_cell_length_c 6.696
_cell_angle_alpha 90.00
_cell_angle_beta 90.00
_cell_angle_gamma 90.00
_space_group_name_H-M_alt 'C m c m'
_space_group_IT_number 63
_space_group_name_Hall '-C 2c 2'
loop_
_atom_site_label
_atom_site_type_symbol
_atom_site_fract_x
_atom_site_fract_y
_atom_site_fract_z
Pm1 Pm 0.000 0.119 0.250
Ga1 Ga 0.000 0.065 0.750
Ga2 Ga 0.000 0.322 0.052
Ga3 Ga 0.000 0.500 0.000
Pd1 Pd 0.000 0.222 0.750
# Calculated formation energy, eV/atom: -0.610
# D(E_F), states/eV/f.u.: 1.93

| no. | total moment (μB per formula unit) |
| --- | --- |
| 1 | 0.00 |
| 2 | 0.00 |
| 3 | 0.00 |
| 4 | 0.00 |
| 5 | 1.00 |
| 6 | 5.31 |
| 7 | 1.82 |
| 8 | 0.00 |
| 9 | 0.00 |
| 10 | 0.00 |
| 11 | 4.00 |
| 12 | 0.00 |